An optimized crystal structure of AcCe2Ho, computed with PBE.

The value obtained for the formation energy from the elements is 0.2939 eV/atom. The value obtained for the density of states at the Fermi level is 11.859 states/eV/f.u. The total moment comes out at 4.934 μB/cell. The volume comes out at 406.1 Å³/cell.

The structure belongs to space group R-3m (No. 166, hexagonal axes); the cell edges are 3.5162, 3.5162 and 37.9277 Å and the angles 90.00°, 90.00° and 120.00°. The asymmetric unit holds Ac at (0.0000, 0.0000, 0.0000), Ce at (0.0000, 0.0000, 0.0907) and Ho at (0.0000, 0.0000, 0.5000).